# LiBiPdRh

A geometry-optimized LiBiPdRh structure (GGA-PBE, the Alexandria database).

Properties
raw total energy = -78.4 eV per cell
DFT formation energy = -30.35 kJ/mol of atoms

```
data_LiBiPdRh
_cell_length_a 6.4412
_cell_length_b 6.4412
_cell_length_c 6.4412
_cell_angle_alpha 90.00
_cell_angle_beta 90.00
_cell_angle_gamma 90.00
_symmetry_space_group_name_H-M 'F -4 3 m'
_symmetry_Int_Tables_number 216
_symmetry_space_group_name_Hall 'F -4 2 3'
loop_
_atom_site_label
_atom_site_fract_x
_atom_site_fract_y
_atom_site_fract_z
_atom_site_occupancy
Li1 0.0000 0.0000 0.0000 1
Bi1 0.0000 0.0000 0.5000 1
Pd1 0.2500 0.2500 0.2500 1
Rh1 0.2500 0.2500 0.7500 1
```